Below is a relaxed structure of K9Li3Nd3B7O21, with properties calculated at the PBEsol level.

Unit cell a=9.9941 b=11.3752 c=11.4996 alpha=65.62 beta=90.00 gamma=90.00
Last column: nearest neighbours and their distance in Å.
Fractional positions:
O 0.3510 0.3575 0.0070  1 B 1.39
K 0.9267 0.0835 0.5857  8 O 2.70-2.99, 1 B 3.02
K 0.0988 0.4000 0.4365  4 O 2.72-3.02
B 0.2308 0.6412 0.4939  3 O 1.37-1.39
O 0.8662 0.8236 0.6018  1 B 1.38
B 0.7814 0.8973 0.5039  3 O 1.38-1.39
O 0.9279 0.8618 0.2355  1 B 1.39
Nd 0.7094 0.5317 0.2573  7 O 2.38-2.58
Nd 0.3179 0.2500 0.2500  8 O 2.41-2.57
O 0.1338 0.1764 0.3982  1 B 1.38
O 0.8125 0.1645 0.0972  1 B 1.39
O 0.6490 0.6425 0.9930  1 B 1.39
B 0.7692 0.3588 0.5061  3 O 1.37-1.39
B 0.5731 0.9800 0.7557  3 O 1.38-1.40
O 0.4858 0.6196 0.7349  1 B 1.40
K 0.3865 0.6426 0.9467  5 O 2.68-2.85
B 0.1394 0.2500 0.7500  3 O 1.39
B 0.2186 0.1027 0.4961  3 O 1.38-1.39
O 0.2969 0.9746 0.9814  1 B 1.39
B 0.2308 0.8588 0.0061  3 O 1.37-1.39
K 0.6135 0.3574 0.0533  5 O 2.68-2.85
O 0.1875 0.8355 0.9028  1 B 1.39
O 0.8662 0.6764 0.8982  1 B 1.38
O 0.8228 0.4899 0.0967  1 B 1.39
O 0.5212 0.0944 0.7507  1 B 1.38
K 0.4617 0.3326 0.5578  6 O 2.63-2.83
B 0.7814 0.6027 0.9961  3 O 1.38-1.39
O 0.2786 0.2500 0.7500  1 B 1.39
O 0.7862 0.2710 0.6297  1 B 1.37
O 0.5142 0.3804 0.2651  1 B 1.40
Li 0.9197 0.2500 0.7500  4 O 1.87-1.95
O 0.5212 0.4056 0.7493  1 B 1.38
O 0.2896 0.4632 0.2523  1 B 1.39
B 0.7692 0.1412 0.9939  3 O 1.37-1.39
Nd 0.6821 0.7500 0.7500  8 O 2.41-2.57
O 0.0721 0.1382 0.7645  1 B 1.39
O 0.7862 0.2290 0.8703  1 B 1.37
O 0.1772 0.5101 0.9033  1 B 1.39
O 0.8125 0.3355 0.4028  1 B 1.39
K 0.0733 0.9165 0.4143  8 O 2.70-2.99, 1 B 3.02
K 0.5383 0.6674 0.4422  6 O 2.63-2.83
K 0.5383 0.8326 0.0578  6 O 2.63-2.83
O 0.2138 0.7710 0.1297  1 B 1.37
O 0.9279 0.6382 0.2645  1 B 1.39
O 0.7104 0.9632 0.7523  1 B 1.39
O 0.2896 0.0368 0.2477  1 B 1.39
B 0.4269 0.4800 0.2557  3 O 1.38-1.40
K 0.9012 0.6000 0.5635  4 O 2.72-3.02
K 0.0733 0.5835 0.0857  8 O 2.70-2.99, 1 B 3.02
O 0.6490 0.8575 0.5070  1 B 1.39
O 0.4788 0.9056 0.2493  1 B 1.38
O 0.5142 0.1196 0.2349  1 B 1.40
B 0.8606 0.7500 0.2500  3 O 1.39
O 0.1772 0.9899 0.5967  1 B 1.39
O 0.7104 0.5368 0.7477  1 B 1.39
B 0.5731 0.5200 0.7443  3 O 1.38-1.40
O 0.7031 0.4746 0.4814  1 B 1.39
Nd 0.7094 0.9683 0.2427  7 O 2.38-2.58
O 0.4858 0.8804 0.7651  1 B 1.40
Li 0.0803 0.7500 0.2500  4 O 1.87-1.95
O 0.0721 0.3618 0.7355  1 B 1.39
Nd 0.2906 0.0317 0.7573  7 O 2.38-2.58
Li 0.7043 0.1336 0.7744  4 O 1.93-2.06
O 0.1338 0.3236 0.1018  1 B 1.38
O 0.2969 0.5254 0.5186  1 B 1.39
O 0.4788 0.5944 0.2507  1 B 1.38
Li 0.7043 0.3664 0.7256  4 O 1.93-2.06
Li 0.2957 0.8664 0.2256  4 O 1.93-2.06
O 0.2138 0.7290 0.3703  1 B 1.37
K 0.0769 0.7500 0.7500  6 O 2.58-2.76
K 0.9267 0.4165 0.9143  8 O 2.70-2.99, 1 B 3.02
K 0.4617 0.1674 0.9422  6 O 2.63-2.83
B 0.2186 0.3973 0.0039  3 O 1.38-1.39
Nd 0.2906 0.4683 0.7427  7 O 2.38-2.58
K 0.0988 0.1000 0.0635  4 O 2.72-3.02
K 0.3865 0.8574 0.5533  5 O 2.68-2.85
O 0.3510 0.1425 0.4930  1 B 1.39
K 0.9012 0.9000 0.9365  4 O 2.72-3.02
K 0.6135 0.1426 0.4467  5 O 2.68-2.85
O 0.1875 0.6645 0.5972  1 B 1.39
O 0.8228 0.0101 0.4033  1 B 1.39
O 0.7031 0.0254 0.0186  1 B 1.39
Li 0.2957 0.6336 0.2744  4 O 1.93-2.06
B 0.4269 0.0200 0.2443  3 O 1.38-1.40
O 0.7214 0.7500 0.2500  1 B 1.39
K 0.9231 0.2500 0.2500  6 O 2.58-2.76

Results
As for the space-group type: P2/c, No. 13. The total magnetization comes out at 0.0 μB per cell. As for the formation energy (no corrections): -2.45 eV/atom. For the uncorrected energy, the calculation gives -6.888 eV per atom.